Here is crystalline RbCeCdBr6 at its relaxed geometry from Alexandria. Energies are from PBE.

Results
total magnetic moment	0.111	μB/atom
uncorrected formation energy	-143.7	kJ/mol of atoms

Cell lengths 7.462, 7.462, 15.167 Å; angles 90.00, 90.00, 120.00 degrees
Fractional positions:
1 Br 0.989 0.621 0.360
2 Br 0.632 0.621 0.140
3 Br 0.379 0.368 0.360
4 Br 0.621 0.632 0.640
5 Br 0.011 0.632 0.860
6 Br 0.368 0.379 0.860
7 Br 0.621 0.989 0.860
8 Br 0.379 0.011 0.140
9 Br 0.011 0.379 0.640
10 Br 0.989 0.368 0.140
11 Br 0.368 0.989 0.640
12 Br 0.632 0.011 0.360
13 Rb 0.000 0.000 0.000
14 Rb 0.000 0.000 0.500
15 Ce 0.667 0.333 0.750
16 Ce 0.333 0.667 0.250
17 Cd 0.333 0.667 0.750
18 Cd 0.667 0.333 0.250